{
  "formula": "ErVAs2O8",
  "functional": "PBE+U",
  "state": "optimized geometry",
  "vol_a3_per_fu": 150,
  "dos_ef_per_ev_fu": 0.0,
  "total_energy_ev_per_atom": -6.96,
  "lattice": [[-3.4785, 3.4785, 3.0974], [3.4785, -3.4785, 3.0974], [3.4785, 3.4785, -3.0974]],
  "species": ["Er", "V", "As", "As", "O", "O", "O", "O", "O", "O", "O", "O"],
  "frac_coords": [[0.0000, 0.0000, 0.0000], [0.7500, 0.2500, 0.5000], [0.2500, 0.7500, 0.5000], [0.5000, 0.5000, 0.0000], [0.0604, 0.3803, 0.3200], [0.0604, 0.7404, 0.6800], [0.1310, 0.3195, 0.8115], [0.2596, 0.9396, 0.3200], [0.5080, 0.3195, 0.1885], [0.6197, 0.9396, 0.6800], [0.6805, 0.4920, 0.8115], [0.6805, 0.8690, 0.1885]]
}